[1]
A relaxed Tl2Ga2Cl crystal, computed with PBE-GGA.

Lattice parameters (Å, degrees): 3.7804 3.7804 20.1087 90.00 90.00 90.00
Closest atoms and distances in Å follow each position.
Space group I4/mmm (No. 139)
Symmetry-distinct sites (fractional):
1 Tl 0.0000 0.0000 0.0945 x4  4 Cl 3.28, 4 Ga 3.65
2 Ga 0.0000 0.5000 0.2500 x4  4 Ga 2.67
3 Cl 0.0000 0.0000 0.5000 x2  8 Tl 3.28

Summary:
- Formation energy (no corrections): -0.94 eV per formula unit
- E_tot: -0.0998 Ha/atom
- Polymorph energy (0 for the lowest one): 0.00 eV per formula unit
- Crystal system: tetragonal

[2]
A relaxed MnInBi2 crystal, computed with PBE-GGA.

Lattice parameters (Å, degrees): 6.4668 6.4668 13.6794 90.00 90.00 90.00
Closest atoms and distances in Å follow each position.
Space group I-42d (No. 122)
Symmetry-distinct sites (fractional):
1 Mn 0.0000 0.0000 0.0000 x4  4 Bi 2.74
2 In 0.0000 0.0000 0.5000 x4  4 Bi 2.98
3 Bi 0.2170 0.2500 0.1250 x8  2 Mn 2.74, 2 In 2.98

Summary:
- E_tot: -0.1689 Ha/atom
- Crystal system: tetragonal
- Calculated formation energy: 0.32 eV per atom

[3]
A relaxed Zr4MnIn crystal, computed with PBE-GGA.

Lattice parameters (Å, degrees): 8.1345 8.1345 8.1345 90.00 90.00 90.00
Closest atoms and distances in Å follow each position.
Space group F-43m (No. 216)
Symmetry-distinct sites (fractional):
1 Zr 0.1241 0.1241 0.3759 x16  6 Zr 2.86-2.90
2 Mn 0.2500 0.2500 0.7500 x4  12 Zr 3.37, 4 In 3.52
3 In 0.0000 0.0000 0.0000 x4  12 Zr 3.37, 4 Mn 3.52

Summary:
- E_tot: -0.2691 Ha/atom
- Crystal system: cubic
- Calculated formation energy: 0.36 eV per atom

[4]
A relaxed ScRhIN2 crystal, computed with PBE-GGA.

Lattice parameters (Å, degrees): 4.0651 4.0651 6.1110 90.00 90.00 90.00
Closest atoms and distances in Å follow each position.
Space group P4/mmm (No. 123)
Symmetry-distinct sites (fractional):
1 Sc 0.0000 0.0000 0.0000 x1  4 N 2.03
2 Rh 0.5000 0.5000 0.5000 x1  4 I 2.87
3 I 0.0000 0.0000 0.5000 x1  4 Rh 2.87, 2 Sc 3.06
4 N 0.0000 0.5000 0.0000 x2  2 Sc 2.03

Summary:
- Formation energy (no corrections): 4.77 eV per formula unit
- E_tot: -0.1993 Ha/atom
- Polymorph energy (0 for the lowest one): 0.26 eV per formula unit
- Crystal system: tetragonal

[5]
A relaxed Nd2W2N5 crystal, computed with PBE-GGA.

Lattice parameters (Å, degrees): 11.6529 3.5109 6.5111 90.00 112.38 90.00
Closest atoms and distances in Å follow each position.
Space group C2/m (No. 12)
Symmetry-distinct sites (fractional):
1 Nd 0.1684 0.0000 0.2151 x4  6 N 2.48-2.61
2 W 0.0552 0.5000 0.7289 x4  5 N 1.94-2.17
3 N 0.0000 0.5000 0.0000 x2  2 W 2.10
4 N 0.1203 0.5000 0.4586 x4  2 W 1.94-2.17
5 N 0.1408 0.0000 0.8181 x4  2 W 1.99

Summary:
- Formation energy (no corrections): -8.01 eV per formula unit
- E_tot: -0.3474 Ha/atom
- Polymorph energy (0 for the lowest one): 0.00 eV per formula unit
- Crystal system: monoclinic

[6]
A relaxed Tm8Ga2Re crystal, computed with PBE-GGA.

Lattice parameters (Å, degrees): 17.3279 5.0499 6.8298 90.00 110.62 90.00
Closest atoms and distances in Å follow each position.
Space group C2/m (No. 12)
Symmetry-distinct sites (fractional):
1 Tm 0.0206 0.0000 0.2905 x4  2 Re 2.99, 1 Ga 3.03, 3 Tm 3.18-3.24
2 Tm 0.0923 0.5000 0.9366 x4  1 Re 2.84, 2 Ga 3.16
3 Tm 0.1585 0.5000 0.4570 x4  1 Re 2.86, 3 Ga 2.96-3.17
4 Tm 0.1979 0.0000 0.7976 x4  1 Ga 2.87
5 Ga 0.1793 0.0000 0.1993 x4  7 Tm 2.87-3.17
6 Re 0.0000 0.5000 0.5000 x2  8 Tm 2.84-2.99

Summary:
- E_tot: -0.1893 Ha/atom
- Crystal system: monoclinic
- Calculated formation energy: -0.22 eV per atom

[7]
A relaxed Pm2NdThP4 crystal, computed with PBE-GGA.

Lattice parameters (Å, degrees): 7.1693 4.1471 7.1747 90.00 109.45 90.00
Closest atoms and distances in Å follow each position.
Space group P2/m (No. 10)
Symmetry-distinct sites (fractional):
1 Pm 0.0000 0.0000 0.0000 x1  6 P 2.92
2 Pm 0.0000 0.5000 0.5000 x1  6 P 2.94
3 Nd 0.5000 0.0000 0.5000 x1  6 P 2.94
4 Th 0.5000 0.5000 0.0000 x1  6 P 2.91-2.92
5 P 0.2501 0.5000 0.2471 x2  1 Th 2.91, 3 Pm 2.92-2.94, 2 Nd 2.94
6 P 0.2510 0.0000 0.7525 x2  3 Pm 2.92-2.94, 2 Th 2.92, 1 Nd 2.94

Summary:
- E_tot: -0.2572 Ha/atom
- Crystal system: monoclinic
- Calculated formation energy: -1.58 eV per atom

[8]
A relaxed Nd4SnTe5 crystal, computed with PBE-GGA.

Lattice parameters (Å, degrees): 4.5133 4.5133 55.4507 90.00 90.00 120.00
Closest atoms and distances in Å follow each position.
Space group R-3m (No. 166, hexagonal axes)
Symmetry-distinct sites (fractional):
1 Nd 0.0000 0.0000 0.0965 x6  6 Te 3.12-3.30
2 Nd 0.0000 0.0000 0.2991 x6  6 Te 3.14-3.22
3 Sn 0.0000 0.0000 0.5000 x3  6 Te 3.21
4 Te 0.0000 0.0000 0.0000 x3  6 Nd 3.22
5 Te 0.0000 0.0000 0.2004 x6  3 Sn 3.21, 3 Nd 3.30
6 Te 0.0000 0.0000 0.3990 x6  6 Nd 3.12-3.14

Summary:
- Formation energy (no corrections): -11.69 eV per formula unit
- E_tot: -0.1855 Ha/atom
- Crystal system: trigonal

[9]
A relaxed Cs2KSiO4 crystal, computed with PBE-GGA.

Lattice parameters (Å, degrees): 6.1743 11.9414 25.4693 90.00 90.00 90.00
Closest atoms and distances in Å follow each position.
Space group Fddd (No. 70, origin choice 2)
Symmetry-distinct sites (fractional):
1 Cs 0.1250 0.1250 0.3144 x16  4 O 3.18-3.21
2 K 0.1250 0.1250 0.1250 x8  4 O 2.56
3 Si 0.1250 0.1250 0.6250 x8  4 O 1.66
4 O 0.0255 0.2882 0.8398 x32  1 Si 1.66

Summary:
- Formation energy (no corrections): -13.94 eV per formula unit
- E_tot: -0.1929 Ha/atom
- Crystal system: orthorhombic

[10]
A relaxed DyHoNi crystal, computed with PBE-GGA.

Lattice parameters (Å, degrees): 8.7460 6.7550 5.0468 90.00 95.40 90.00
Closest atoms and distances in Å follow each position.
Space group Cm (No. 8)
Symmetry-distinct sites (fractional):
1 Dy 0.0000 0.2358 0.0000 x4  4 Ni 2.78-3.03
2 Ho 0.1809 0.5000 0.5667 x2  3 Ni 2.52-2.68
3 Ho 0.2748 0.0000 0.4722 x2  1 Ni 2.60
4 Ni 0.2502 0.5000 0.0923 x2  2 Ho 2.52-2.66, 1 Ni 2.69, 2 Dy 2.78
5 Ni 0.4790 0.5000 0.4864 x2  2 Ho 2.60-2.68, 1 Ni 2.69

Summary:
- E_tot: -0.1886 Ha/atom
- Polymorph energy (0 for the lowest one): 0.51 eV per formula unit
- Crystal system: monoclinic
- Calculated formation energy: -0.14 eV per atom

[11]
A relaxed TbPrDyEr crystal, computed with PBE-GGA.

Lattice parameters (Å, degrees): 3.4498 5.6271 6.7651 90.00 90.00 90.00
Closest atoms and distances in Å follow each position.
Space group Pmm2 (No. 25)
Symmetry-distinct sites (fractional):
1 Tb 0.0000 0.0000 0.0000 x1  2 Pr 3.26-3.50, 2 Dy 3.31, 2 Tb 3.45
2 Pr 0.0000 0.0000 0.4822 x1  2 Tb 3.26-3.50, 2 Dy 3.32, 2 Pr 3.45
3 Dy 0.0000 0.5000 0.7417 x1  2 Tb 3.31, 2 Pr 3.32, 2 Dy 3.45
4 Er 0.5000 0.5000 0.2330 x1  2 Er 3.45, 4 Tb 3.66, 4 Pr 3.71, 4 Dy 3.74-3.85

Summary:
- E_tot: -0.1638 Ha/atom
- Polymorph energy (0 for the lowest one): 0.25 eV per formula unit
- Crystal system: orthorhombic
- Calculated formation energy: 0.19 eV per atom

[12]
A relaxed Ca3SiBr2 crystal, computed with PBE-GGA.

Lattice parameters (Å, degrees): 4.2719 4.2719 35.4153 90.00 90.00 120.00
Closest atoms and distances in Å follow each position.
Space group R3m (No. 160, hexagonal axes)
Symmetry-distinct sites (fractional):
1 Ca 0.0000 0.0000 0.0000 x3  3 Si 2.95, 1 Ca 3.26
2 Ca 0.0000 0.0000 0.0920 x3  3 Si 2.96, 1 Ca 3.26
3 Ca 0.0000 0.0000 0.8763 x3  6 Br 2.99
4 Si 0.0000 0.0000 0.7125 x3  6 Ca 2.95-2.96
5 Br 0.0000 0.0000 0.2571 x3  3 Ca 2.99
6 Br 0.0000 0.0000 0.4955 x3  3 Ca 2.99

Summary:
- Formation energy (no corrections): -5.78 eV per formula unit
- E_tot: -0.1259 Ha/atom
- Polymorph energy (0 for the lowest one): 1.53 eV per formula unit
- Crystal system: trigonal